1.
This record from Alexandria via LeMat-Bulk describes crystalline Re4SiOs at its relaxed geometry. The functional is PBE.

uncorrected formation energy: 814 meV per atom
SG: No. 216

abc: 5.1179 5.1179 5.1179
angles: 60.00 60.00 60.00
Element x y z (fractional)
Re 0.1245 0.1245 0.1245
Re 0.1245 0.1245 0.6266
Re 0.1245 0.6266 0.1245
Re 0.6266 0.1245 0.1245
Si 0.7500 0.7500 0.7500
Os 0.5000 0.5000 0.5000

***

2.
This record from Alexandria via LeMat-Bulk describes crystalline Re2SiOs at its relaxed geometry. The functional is PBE.

uncorrected formation energy: 387 meV per atom
SG: No. 65

abc: 2.7595 2.7595 8.5334
angles: 90.00 90.00 116.80
Element x y z (fractional)
Re 0.0000 0.0000 0.2355
Re 0.0000 0.0000 0.7645
Si 0.5000 0.5000 0.0000
Os 0.5000 0.5000 0.5000

***

3.
This record from Alexandria via LeMat-Bulk describes crystalline Re2SiOs at its relaxed geometry. The functional is PBE.

uncorrected formation energy: 62 meV per atom
SG: No. 25

abc: 2.8256 3.8978 5.2420
angles: 90.00 90.00 90.00
Element x y z (fractional)
Re 0.0000 0.0000 0.0000
Re 0.5000 0.5000 0.2118
Si 0.0000 0.0000 0.4928
Os 0.5000 0.5000 0.6882

***

4.
This record from Alexandria via LeMat-Bulk describes crystalline Re2SiOs at its relaxed geometry. The functional is PBE.

uncorrected formation energy: 331 meV per atom
SG: No. 123

abc: 3.7843 3.7843 4.0026
angles: 90.00 90.00 90.00
Element x y z (fractional)
Re 0.0000 0.5000 0.0000
Re 0.5000 0.0000 0.0000
Si 0.0000 0.0000 0.5000
Os 0.5000 0.5000 0.5000

***

5.
This record from Alexandria via LeMat-Bulk describes crystalline ReSi4Os2 at its relaxed geometry. The functional is PBE.

uncorrected formation energy: 782 meV per atom
SG: No. 139

abc: 6.8386 6.8386 6.8386
angles: 141.14 141.14 56.12
Element x y z (fractional)
Re 0.0000 0.0000 0.0000
Si 0.0000 0.5000 0.5000
Si 0.2031 0.2031 0.0000
Si 0.5000 0.0000 0.5000
Si 0.7969 0.7969 0.0000
Os 0.3908 0.3908 0.0000
Os 0.6092 0.6092 0.0000

***

6.
This record from Alexandria via LeMat-Bulk describes crystalline Ta2ReSiOs at its relaxed geometry. The functional is PBE.

uncorrected formation energy: 1392 meV per atom
SG: No. 123

abc: 4.8606 4.8606 4.3398
angles: 90.00 90.00 90.00
Element x y z (fractional)
Ta 0.0000 0.5000 0.0000
Ta 0.5000 0.0000 0.0000
Re 0.0000 0.0000 0.5000
Si 0.5000 0.5000 0.5000
Os 0.5000 0.5000 0.0000

***

7.
This record from Alexandria via LeMat-Bulk describes crystalline TbReSi2Os at its relaxed geometry. The functional is PBE.

uncorrected formation energy: -574 meV per atom
SG: No. 119

abc: 5.7805 5.7805 5.7805
angles: 138.01 138.01 60.88
Element x y z (fractional)
Tb 0.0000 0.0000 0.0000
Re 0.7500 0.2500 0.5000
Si 0.3763 0.3763 0.0000
Si 0.6237 0.6237 0.0000
Os 0.2500 0.7500 0.5000

***

8.
This record from Alexandria via LeMat-Bulk describes crystalline ThReSi3Os at its relaxed geometry. The functional is PBE.

uncorrected formation energy: -209 meV per atom
SG: No. 63

abc: 6.7035 6.7035 5.6416
angles: 90.00 90.00 110.87
Element x y z (fractional)
Th 0.2469 0.7531 0.7500
Th 0.7531 0.2469 0.2500
Re 0.4508 0.5492 0.2500
Re 0.5492 0.4508 0.7500
Si 0.2475 0.7525 0.2500
Si 0.2500 0.2500 0.0000
Si 0.2500 0.2500 0.5000
Si 0.7500 0.7500 0.0000
Si 0.7500 0.7500 0.5000
Si 0.7525 0.2475 0.7500
Os 0.0459 0.9541 0.2500
Os 0.9541 0.0459 0.7500

***

9.
This record from Alexandria via LeMat-Bulk describes crystalline ThReSi2Os at its relaxed geometry. The functional is PBE.

uncorrected formation energy: -626 meV per atom
SG: No. 119

abc: 5.7805 5.7805 5.7805
angles: 137.01 137.01 62.42
Element x y z (fractional)
Th 0.0000 0.0000 0.0000
Re 0.2500 0.7500 0.5000
Si 0.3714 0.3714 0.0000
Si 0.6286 0.6286 0.0000
Os 0.7500 0.2500 0.5000

***

10.
This record from Alexandria via LeMat-Bulk describes crystalline TiReSi2Os at its relaxed geometry. The functional is PBE.

uncorrected formation energy: 1085 meV per atom
SG: No. 123

abc: 4.4913 4.4913 4.8360
angles: 90.00 90.00 90.00
Element x y z (fractional)
Ti 0.0000 0.0000 0.0000
Re 0.5000 0.5000 0.0000
Si 0.0000 0.5000 0.5000
Si 0.5000 0.0000 0.5000
Os 0.0000 0.0000 0.5000

***

11.
This record from Alexandria via LeMat-Bulk describes crystalline TiReSiOs at its relaxed geometry. The functional is PBE.

uncorrected formation energy: -461 meV per atom
SG: No. 216

abc: 4.2906 4.2906 4.2906
angles: 60.00 60.00 60.00
Element x y z (fractional)
Ti 0.0000 0.0000 0.0000
Re 0.7500 0.7500 0.7500
Si 0.5000 0.5000 0.5000
Os 0.2500 0.2500 0.2500

***

12.
This record from Alexandria via LeMat-Bulk describes crystalline UReSi2Os at its relaxed geometry. The functional is PBE.

uncorrected formation energy: -406 meV per atom
SG: No. 119

abc: 5.6604 5.6604 5.6604
angles: 136.83 136.83 62.70
Element x y z (fractional)
U 0.0000 0.0000 0.0000
Re 0.7500 0.2500 0.5000
Si 0.3773 0.3773 0.0000
Si 0.6227 0.6227 0.0000
Os 0.2500 0.7500 0.5000